1.
The following is a PBE calculation of CoSN after structural relaxation, from Alexandria via LeMat-Bulk.

* Fermi-level density of states: 2.0 states/eV/f.u.
* space-group type: P1 (1)
* formation energy without anion corrections: 0.357 eV/atom
* V: 36.3 Å³ per cell
* polymorph energy (0 for the lowest one): 518 meV per atom
* calculated density: 4.80 g cm⁻³
* M_tot: 0.53 μB/f.u.

abc: 2.795 3.544 4.296
angles: 110.01 89.94 113.20
Sites, in units of the cell vectors:
N (0.687, 0.687, 0.779)
S (0.900, 0.116, 0.143)
Co (0.969, 0.251, 0.679)

2.
The following is a PBE calculation of Na5HgS3 after structural relaxation, from Alexandria via LeMat-Bulk.

* space-group type: C2/c (15)
* formation energy without anion corrections: -0.875 eV/atom
* V: 436.2 Å³ per cell
* calculated density: 3.13 g cm⁻³
* M_tot: 0.00 μB/f.u.

abc: 6.617 8.123 9.366
angles: 106.79 90.00 114.04
Sites, in units of the cell vectors:
S (0.317, 0.657, 0.664)
S (0.340, 0.657, 0.164)
Na (0.266, 0.000, 0.750)
S (0.000, 0.000, 0.000)
Na (0.585, 0.668, 0.423)
S (0.683, 0.343, 0.336)
Na (0.083, 0.668, 0.923)
Hg (0.775, 0.000, 0.750)
Na (0.908, 0.331, 0.589)
Na (0.577, 0.669, 0.911)
S (0.000, 0.000, 0.500)
S (0.660, 0.343, 0.836)
Na (0.917, 0.332, 0.077)
Na (0.423, 0.331, 0.089)
Na (0.734, 0.000, 0.250)
Na (0.415, 0.332, 0.577)
Na (0.092, 0.669, 0.411)
Hg (0.225, 0.000, 0.250)

3.
The following is a PBE calculation of BaMnMo after structural relaxation, from Alexandria via LeMat-Bulk.

* Fermi-level density of states: 3.6 states/eV/f.u.
* energy of formation from the pure elements: 0.75 eV per atom
* space-group type: I4mm (107)
* V: 69.9 Å³ per cell
* polymorph energy (0 for the lowest one): 302 meV per atom
* calculated density: 6.85 g cm⁻³
* M_tot: 1.44 μB/f.u.

abc: 6.789 6.789 3.312
angles: 75.88 75.88 28.23
Sites, in units of the cell vectors:
Ba (0.998, 0.998, 0.002)
Mn (0.284, 0.284, 0.716)
Mo (0.718, 0.718, 0.282)

> Number 2 is which compound?

Na5HgS3